A relaxed structure of VCdF2. Source: Alexandria via LeMat-Bulk, functional PBE with a Hubbard U.

## Properties
crystal system = cubic
total energy = -3.861 eV/atom
distance to the lowest polymorph of the same formula = 4.03 eV per formula unit
size of the total moment = 12.05 μB per cell
Fermi-level density of states = 17.059 states/eV per cell

abc: 6.215 6.215 6.215
angles: 90.00 90.00 90.00
Space group Fm-3m (No. 225)
One atom of each set of equivalent atoms:
V  0.000  0.000  0.000 [4 per cell]
Cd  0.000  0.000  0.500 [4 per cell]
F  0.250  0.250  0.250 [8 per cell]